1.
## La2PmSe (GGA-PBE)

Data for La2PmSe after structural relaxation.

abc: 10.101 10.101 10.101
angles: 22.77 22.77 22.77
Positions (direct):
La 0.000 0.000 0.000
La 0.200 0.200 0.200
Pm 0.433 0.433 0.433
Se 0.600 0.600 0.600

Properties
ΔE_f (raw)   -0.838 eV/atom

***

2.
## Al2Ge2H (GGA-PBE)

Data for Al2Ge2H after structural relaxation.

abc: 7.768 7.768 2.858
angles: 90.00 90.00 90.00
Positions (direct):
Al 0.151 0.349 0.000
Al 0.349 0.849 0.000
Al 0.651 0.151 0.000
Al 0.849 0.651 0.000
Ge 0.148 0.648 0.500
Ge 0.352 0.148 0.500
Ge 0.648 0.852 0.500
Ge 0.852 0.352 0.500
H 0.000 0.000 0.000
H 0.500 0.500 0.000

***

| no. | D(E_F) (states/eV per cell) | uncorrected energy (eV per atom) |
| --- | --- | --- |
| 1 | 4.5 | -5.361 |
| 2 | 3.1 | -3.508 |